This record from the Alexandria database describes BaZnIn2Co after structural relaxation. The functional is PBE.

a b c (Å): 5.021 5.021 4.929
angles (deg): 90.00 90.00 90.00
Each line ends with the local moment (μB).
Positions (direct):
Co 0.000 0.000 0.000  0.38
Ba 0.500 0.500 0.500  0.05
In 0.500 0.000 0.000  0.00
In 0.000 0.500 0.000  0.00
Zn 0.000 0.000 0.500  -0.01

Values from the calculation:
Total DFT energy (no corrections), eV/atom: -3.34
N(E_F), states/eV per atom: 0.693
Calculated formation energy, meV/atom: -188

***

This record from the Alexandria database describes Ac2Pr4Mg after structural relaxation. The functional is PBE.

a b c (Å): 5.325 6.390 8.501
angles (deg): 98.86 89.98 65.40
Positions (direct):
Pr 0.141 0.717 0.577
Pr 0.859 0.283 0.423
Pr 0.428 0.144 0.703
Pr 0.572 0.856 0.297
Ac 0.715 0.570 0.856
Ac 0.285 0.430 0.144
Mg 0.000 0.000 0.000

Values from the calculation:
Total DFT energy (no corrections), eV/atom: -4.11
N(E_F), states/eV per atom: 1.316
Calculated formation energy, meV/atom: 19

***

This record from the Alexandria database describes RbY after structural relaxation. The functional is PBE.

a b c (Å): 15.253 15.253 3.751
angles (deg): 90.00 90.00 90.00
Each line ends with the local moment (μB).
Positions (direct):
Y 0.571 0.867 0.500  0.01
Y 0.402 0.948 0.000  0.14
Y 0.948 0.598 0.000  0.14
Y 0.133 0.571 0.500  0.01
Y 0.052 0.402 0.000  0.14
Y 0.867 0.429 0.500  0.01
Y 0.598 0.052 0.000  0.14
Y 0.429 0.133 0.500  0.01
Rb 0.127 0.829 0.000  0.00
Rb 0.680 0.618 0.500  0.00
Rb 0.618 0.320 0.500  0.00
Rb 0.873 0.171 0.000  0.00
Rb 0.382 0.680 0.500  0.00
Rb 0.320 0.382 0.500  0.00
Rb 0.171 0.127 0.000  0.00
Rb 0.829 0.873 0.000  0.00

Values from the calculation:
Total DFT energy (no corrections), eV/atom: -3.32
N(E_F), states/eV per atom: 1.328
Calculated formation energy, meV/atom: 400

***

This record from the Alexandria database describes RbCdHgRu2 after structural relaxation. The functional is PBE.

a b c (Å): 5.201 5.525 5.201
angles (deg): 90.00 90.00 90.00
Each line ends with the local moment (μB).
Positions (direct):
Rb 0.500 0.500 0.500  0.00
Cd 0.000 0.000 0.000  -0.01
Ru 0.500 0.000 0.000  1.74
Ru 0.000 0.000 0.500  2.06
Hg 0.000 0.500 0.000  0.02

Values from the calculation:
Total DFT energy (no corrections), eV/atom: -2.70
N(E_F), states/eV per atom: 1.476
Calculated formation energy, meV/atom: 1452

***

This record from the Alexandria database describes Nd6OsO12 after structural relaxation. The functional is PBE.

a b c (Å): 6.726 6.726 6.726
angles (deg): 98.52 98.52 98.52
Each line ends with the local moment (μB).
Positions (direct):
O 0.407 0.823 0.560  0.00
O 0.712 0.932 0.032  0.07
O 0.032 0.712 0.932  0.07
O 0.823 0.560 0.407  0.00
O 0.968 0.288 0.068  0.07
O 0.068 0.968 0.288  0.07
O 0.288 0.068 0.968  0.07
O 0.932 0.032 0.712  0.07
O 0.593 0.177 0.440  0.00
O 0.440 0.593 0.177  0.00
O 0.560 0.407 0.823  0.00
O 0.177 0.440 0.593  0.00
Nd 0.691 0.856 0.389  0.01
Nd 0.856 0.389 0.691  0.01
Nd 0.309 0.144 0.611  0.01
Nd 0.389 0.691 0.856  0.01
Nd 0.611 0.309 0.144  0.01
Nd 0.144 0.611 0.309  0.01
Os 0.000 0.000 0.000  1.34

Values from the calculation:
Energy relative to the elements, uncorrected, eV/atom: -2.896
Total DFT energy (no corrections), eV/atom: -8.12
N(E_F), states/eV per atom: 0.485

***

This record from the Alexandria database describes Nd12TlPd6 after structural relaxation. The functional is PBE.

a b c (Å): 8.946 8.946 8.946
angles (deg): 109.47 109.47 109.47
Positions (direct):
Nd 0.700 0.516 0.816
Nd 0.884 0.184 0.700
Nd 0.184 0.300 0.484
Nd 0.816 0.300 0.116
Nd 0.700 0.884 0.184
Nd 0.300 0.116 0.816
Nd 0.516 0.816 0.700
Nd 0.300 0.484 0.184
Nd 0.816 0.700 0.516
Nd 0.116 0.816 0.300
Nd 0.484 0.184 0.300
Nd 0.184 0.700 0.884
Pd 0.867 0.367 0.500
Pd 0.633 0.500 0.133
Pd 0.500 0.133 0.633
Pd 0.367 0.500 0.867
Pd 0.133 0.633 0.500
Pd 0.500 0.867 0.367
Tl 0.000 0.000 0.000

Values from the calculation:
Relative energy among the computed polymorphs, eV per formula unit: 0.000
Total DFT energy (no corrections), eV/atom: -5.30
N(E_F), states/eV per atom: 0.797
Calculated formation energy, meV/atom: -529

***

This record from the Alexandria database describes RbSr2TiF8 after structural relaxation. The functional is PBE.

a b c (Å): 4.733 5.540 7.904
angles (deg): 87.34 87.84 93.29
Each line ends with the local moment (μB).
Positions (direct):
F 0.153 0.816 0.820  -0.01
F 0.496 0.265 0.500  0.00
F 0.344 0.232 0.023  0.01
F 0.656 0.768 0.977  0.01
F 0.926 0.263 0.811  0.01
F 0.504 0.735 0.500  0.00
F 0.074 0.737 0.189  0.01
F 0.847 0.184 0.180  -0.01
Sr 0.533 0.521 0.243  0.00
Sr 0.467 0.479 0.757  0.00
Rb 0.000 0.000 0.500  0.00
Ti 0.000 0.000 0.000  0.91

Values from the calculation:
Energy relative to the elements, uncorrected, eV/atom: -3.483
Total DFT energy (no corrections), eV/atom: -5.75
N(E_F), states/eV per atom: 0.067

***

This record from the Alexandria database describes TcOsPd after structural relaxation. The functional is PBE.

a b c (Å): 3.872 3.818 8.596
angles (deg): 102.38 90.00 120.48
Positions (direct):
Pd 0.302 0.603 0.408
Pd 0.698 0.397 0.592
Os 0.198 0.395 0.090
Os 0.802 0.605 0.910
Tc 0.906 0.813 0.228
Tc 0.094 0.187 0.772

Values from the calculation:
Relative energy among the computed polymorphs, eV per formula unit: 1.516
Total DFT energy (no corrections), eV/atom: -8.37
N(E_F), states/eV per atom: 0.898
Calculated formation energy, meV/atom: 560

***

This record from the Alexandria database describes VFeRu3 after structural relaxation. The functional is PBE.

a b c (Å): 4.416 4.416 4.416
angles (deg): 90.00 90.00 90.00
Each line ends with the local moment (μB).
Positions (direct):
Ru 0.000 0.000 0.500  0.56
Ru 0.500 0.000 0.000  0.56
Ru 0.000 0.500 0.000  0.56
V 0.000 0.000 0.000  -0.10
Fe 0.500 0.500 0.500  3.39

Values from the calculation:
Relative energy among the computed polymorphs, eV per formula unit: 6.495
Total DFT energy (no corrections), eV/atom: -7.84
N(E_F), states/eV per atom: 1.035
Calculated formation energy, meV/atom: 1241

***

This record from the Alexandria database describes BeAlTc4 after structural relaxation. The functional is PBE.

a b c (Å): 5.070 5.070 5.070
angles (deg): 60.00 60.00 60.00
Positions (direct):
Al 0.750 0.750 0.750
Tc 0.375 0.375 0.375
Tc 0.375 0.375 0.876
Tc 0.375 0.876 0.375
Tc 0.876 0.375 0.375
Be 0.000 0.000 0.000

Values from the calculation:
Total DFT energy (no corrections), eV/atom: -7.76
N(E_F), states/eV per atom: 0.653
Calculated formation energy, meV/atom: 400

***

This record from the Alexandria database describes Tl2AsPb2 after structural relaxation. The functional is PBE.

a b c (Å): 7.652 7.652 5.168
angles (deg): 90.00 90.00 90.00
Positions (direct):
Pb 0.833 0.333 0.500
Pb 0.667 0.833 0.500
Pb 0.333 0.167 0.500
Pb 0.167 0.667 0.500
Tl 0.854 0.646 0.000
Tl 0.146 0.354 0.000
Tl 0.354 0.854 0.000
Tl 0.646 0.146 0.000
As 0.000 0.000 0.000
As 0.500 0.500 0.000

Values from the calculation:
Relative energy among the computed polymorphs, eV per formula unit: 0.513
Total DFT energy (no corrections), eV/atom: -3.15
N(E_F), states/eV per atom: 0.567
Calculated formation energy, meV/atom: 211

***

This record from the Alexandria database describes GePBr after structural relaxation. The functional is PBE.

a b c (Å): 2.671 3.787 7.660
angles (deg): 84.55 80.26 90.03
Positions (direct):
Ge 0.030 0.318 0.283
P 0.934 0.787 0.481
Br 0.199 0.132 0.934

Values from the calculation:
Energy relative to the elements, uncorrected, eV/atom: 0.174
Relative energy among the computed polymorphs, eV per formula unit: 1.121
Total DFT energy (no corrections), eV/atom: -3.73
N(E_F), states/eV per atom: 0.277

***

This record from the Alexandria database describes Th2TiIn8 after structural relaxation. The functional is PBE.

a b c (Å): 4.708 4.708 12.892
angles (deg): 90.00 90.00 90.00
Positions (direct):
In 0.500 0.500 0.686
In 0.500 0.000 0.500
In 0.500 0.000 0.127
In 0.000 0.500 0.873
In 0.500 0.500 0.314
In 0.500 0.000 0.873
In 0.000 0.500 0.127
In 0.000 0.500 0.500
Ti 0.000 0.000 0.000
Th 0.000 0.000 0.687
Th 0.000 0.000 0.313

Values from the calculation:
Total DFT energy (no corrections), eV/atom: -4.30
N(E_F), states/eV per atom: 0.580
Calculated formation energy, meV/atom: -240

***

This record from the Alexandria database describes Si3HgC after structural relaxation. The functional is PBE.

a b c (Å): 4.186 4.186 4.186
angles (deg): 90.00 90.00 90.00
Positions (direct):
C 0.000 0.000 0.000
Hg 0.500 0.500 0.500
Si 0.000 0.000 0.500
Si 0.500 0.000 0.000
Si 0.000 0.500 0.000

Values from the calculation:
Energy relative to the elements, uncorrected, eV/atom: 0.954
Relative energy among the computed polymorphs, eV per formula unit: 0.000
Total DFT energy (no corrections), eV/atom: -4.20
N(E_F), states/eV per atom: 0.328